4
Lattice="1.6063 -0.9506 5.8467 -0.5428 4.4850 4.1543 -3.3620 -2.6908 -4.3731" Properties=species:S:1:pos:R:3 comment="Sb3P (PBE, relaxed)" formation_energy_uncorrected_kj_per_mol_atoms=47 relative_energy_ev_per_atom=0.381 pbc="T T T"
Sb -0.6120 -0.9371 3.2371
Sb 0.5317 1.7672 5.0005
Sb -1.6865 1.7807 2.3908
P 0.0000 0.0000 0.0000

=====

5
Lattice="5.7067 0.0000 0.0000 0.0000 5.2270 0.0000 0.0000 0.0000 5.7067" Properties=species:S:1:pos:R:3 comment="KMgTcPb2 (PBE, relaxed)" ef_ev_per_atom=1.701 pbc="T T T"
Pb 0.0000 0.0000 2.8534
Pb 2.8534 0.0000 0.0000
K 0.0000 0.0000 0.0000
Mg 2.8534 2.6135 2.8534
Tc 0.0000 2.6135 0.0000

=====

4
Lattice="5.3705 0.0000 0.0000 2.6853 4.6510 0.0000 2.6853 1.5503 4.3850" Properties=species:S:1:pos:R:3 comment="ErPuMgPb (PBE, relaxed)" ef_ev_per_atom=-0.104 pbc="T T T"
Pb 5.3705 3.1007 2.1925
Mg 0.0000 0.0000 0.0000
Er 8.0558 4.6510 3.2887
Pu 2.6853 1.5503 1.0962

=====

10
Lattice="-4.1798 0.4675 1.1187 -0.4698 -4.3263 0.0523 2.6660 -0.1682 10.0317" Properties=species:S:1:pos:R:3 comment="La2Si3SnPd4 (PBE, relaxed)" formation_energy_uncorrected_kj_per_mol_atoms=-83 pbc="T T T"
La -1.4472 0.1932 2.9776
La 1.7884 -2.2908 7.6396
Si 1.3330 -0.0841 5.0159
Si 0.2544 0.0858 9.3803
Si 0.0868 -2.1835 1.2369
Sn -0.9918 -2.0135 5.6014
Pd -2.3248 -1.9294 0.5855
Pd 0.0000 0.0000 0.0000
Pd -0.3707 0.1253 7.0285
Pd 0.7119 -2.2229 3.5887

=====

6
Lattice="5.1698 0.0001 -0.0013 -0.0001 5.1705 -0.0017 0.0040 0.0065 7.3640" Properties=species:S:1:pos:R:3 comment="Sm4GaPb (PBE, relaxed)" ef_ev_per_atom=-0.253 pbc="T T T"
Sm 2.5923 5.1565 1.9635
Sm 2.5946 5.1629 5.3683
Sm 0.0104 2.5766 5.3697
Sm 0.0069 2.5725 1.9655
Ga 0.0085 5.1598 3.6667
Pb 2.5956 2.5776 7.3483

=====

4
Lattice="3.5821 0.0000 0.0000 0.0000 3.5821 0.0000 0.0000 0.0000 6.6912" Properties=species:S:1:pos:R:3 comment="Ce2BeGa (PBE, relaxed)" ef_ev_per_atom=-0.122 relative_energy_ev_per_atom=0.011 pbc="T T T"
Be 1.7911 1.7911 0.0000
Ga 1.7911 1.7911 3.3456
Ce 0.0000 0.0000 5.2364
Ce 0.0000 0.0000 1.4548

=====

4
Lattice="-9.6244 5.1599 -0.0510 -10.6154 2.5404 -0.3397 -10.0784 3.5676 2.2262" Properties=species:S:1:pos:R:3 comment="KMo2Os (PBE, relaxed)" ef_ev_per_atom=0.843 relative_energy_ev_per_atom=0.069 pbc="T T T"
K -22.7387 8.4510 1.3766
Mo -29.8708 11.1017 1.8083
Mo -15.6065 5.8002 0.9448
Os -7.5796 2.8170 0.4589

=====

5
Lattice="-1.4579 -3.7665 1.8214 4.1652 -1.4882 0.2565 -0.7532 5.3669 5.1069" Properties=species:S:1:pos:R:3 comment="TbNpTeS2 (PBE, relaxed)" formation_energy_uncorrected_kj_per_mol_atoms=-120 pbc="T T T"
Tb 1.7875 -0.6476 5.4802
Np 0.1636 0.7463 1.6743
Te 1.3564 -2.6145 1.0677
S -0.4287 -0.5131 3.9843
S 2.3829 0.6260 3.2019

=====

4
Lattice="5.2039 -0.1269 -0.0530 1.7422 4.9053 0.0530 -3.2380 -2.7308 3.0261" Properties=species:S:1:pos:R:3 comment="CuPbAu2 (PBE, relaxed)" ef_ev_per_atom=0.105 pbc="T T T"
Au 0.0545 0.0375 0.0000
Au 1.0963 2.3559 1.5396
Cu 3.3691 2.3176 0.0000
Pb 2.6613 -0.2743 1.4865

=====

9
Lattice="-0.6826 -1.6351 5.1825 4.2002 0.1950 3.5098 -1.5905 5.6911 1.5864" Properties=species:S:1:pos:R:3 comment="RbLiSnF6 (PBE, relaxed)" formation_energy_uncorrected_kj_per_mol_atoms=-266 pbc="T T T"
Rb -2.2730 4.0560 6.7690
Li 1.5498 1.8855 6.5878
Sn 0.3773 2.3654 3.6906
F 1.0632 1.8462 1.8755
F -1.2947 3.2886 3.0686
F 0.0640 2.9680 5.5808
F 1.4802 3.9985 3.3024
F 1.8211 1.3002 4.5936
F -0.8699 0.7916 3.7221

=====

3
Lattice="-3.7192 0.8826 -2.0127 1.3496 -4.0889 0.3491 -2.0039 -0.3587 3.5457" Properties=species:S:1:pos:R:3 comment="LaAlNi (PBE, relaxed)" ef_ev_per_atom=-0.408 pbc="T T T"
Ni -2.0104 -2.7307 2.5174
Al -1.6696 -0.2989 2.9542
La -2.6975 -0.8941 -0.0437

=====

7
Lattice="3.5084 0.4911 -0.3925 0.8673 8.9467 2.8002 -1.1132 1.2067 7.7223" Properties=species:S:1:pos:R:3 comment="Dy2Ho3Th2 (PBE, relaxed)" ef_ev_per_atom=0.025 relative_energy_ev_per_atom=0.000 pbc="T T T"
Dy 1.8183 1.8903 2.4194
Dy 1.4443 8.7543 7.7106
Ho 0.0000 0.0000 0.0000
Ho 1.3510 5.4037 2.6727
Ho 1.9115 5.2409 7.4573
Th 0.1107 3.3289 5.1662
Th 3.1519 7.3157 4.9638

=====

4
Lattice="2.5362 0.0000 0.0000 0.0000 3.0146 0.0000 0.0000 0.0000 5.4928" Properties=species:S:1:pos:R:3 comment="Be2FeRe (PBE, relaxed)" ef_ev_per_atom=-0.015 relative_energy_ev_per_atom=0.106 pbc="T T T"
Re 1.2681 1.5073 4.1196
Fe 1.2681 1.5073 1.3732
Be 0.0000 0.0000 0.1445
Be 0.0000 0.0000 2.6019

=====

11
Lattice="2.4792 0.0000 0.0000 0.0000 7.5302 1.5946 0.0000 2.4102 7.3104" Properties=species:S:1:pos:R:3 comment="Fe2Co3Ni6 (PBE, relaxed)" ef_ev_per_atom=0.144 pbc="T T T"
Fe 0.0000 3.7969 5.7624
Fe 0.0000 6.1436 3.1426
Co 0.0000 2.5507 2.2849
Co 0.0000 7.3897 6.6201
Co 1.2396 0.0000 0.0000
Ni 1.2396 4.0734 3.6492
Ni 1.2396 5.8670 5.2559
Ni 1.2396 8.0372 4.2210
Ni 1.2396 1.9032 4.6841
Ni 1.2396 5.0763 7.5265
Ni 1.2396 4.8642 1.3785

=====

5
Lattice="-0.5542 4.6521 -3.2600 -5.6211 -0.9225 -0.3608 -0.7604 2.9413 4.3266" Properties=species:S:1:pos:R:3 comment="CsZnSbTe2 (PBE, relaxed)" formation_energy_uncorrected_kj_per_mol_atoms=-7 pbc="T T T"
Cs -3.4678 3.3355 0.3529
Sb -0.3802 1.4707 2.1633
Zn 0.0000 0.0000 0.0000
Te -2.8105 -0.4612 -0.1804
Te -0.2771 2.3261 -1.6300

=====

4
Lattice="5.9473 0.0000 0.0000 2.9736 5.1505 0.0000 2.9736 1.7168 4.8559" Properties=species:S:1:pos:R:3 comment="CaPr3 (PBE, relaxed)" ef_ev_per_atom=0.118 pbc="T T T"
Pr 0.0000 0.0000 0.0000
Pr 8.9209 5.1505 3.6419
Pr 2.9736 1.7168 1.2140
Ca 5.9473 3.4336 2.4280

=====

20
Lattice="3.7293 0.0000 0.0000 0.0000 9.6889 0.0000 0.0000 0.0000 9.6889" Properties=species:S:1:pos:R:3 comment="TmZr2Ti2Rh5 (PBE, relaxed)" ef_ev_per_atom=-0.657 pbc="T T T"
Tm 0.0000 0.0000 0.0000
Tm 0.0000 4.8445 4.8445
Zr 0.0000 6.5462 1.7017
Zr 0.0000 3.1427 7.9872
Zr 0.0000 1.7017 3.1427
Zr 0.0000 7.9872 6.5462
Ti 0.0000 1.1778 6.0223
Ti 0.0000 8.5112 3.6667
Ti 0.0000 6.0223 8.5112
Ti 0.0000 3.6667 1.1778
Rh 1.8646 2.0525 0.6594
Rh 1.8646 7.6365 9.0295
Rh 1.8646 0.6594 7.6365
Rh 1.8646 6.8969 4.1851
Rh 1.8646 9.0295 2.0525
Rh 1.8646 2.7920 5.5039
Rh 1.8646 5.5039 6.8969
Rh 1.8646 4.1851 2.7920
Rh 1.8646 4.8445 0.0000
Rh 1.8646 0.0000 4.8445

=====

16
Lattice="4.2481 0.0000 0.0000 -2.1241 7.3581 0.0000 0.0000 0.0000 14.6941" Properties=species:S:1:pos:R:3 comment="RbNd2CuSe4 (PBE, relaxed)" formation_energy_uncorrected_kj_per_mol_atoms=-146 pbc="T T T"
Rb 0.0000 1.5953 11.0206
Rb 2.1241 5.7628 3.6735
Nd 0.0000 5.3776 8.2686
Nd 2.1241 1.9805 0.9215
Nd 2.1241 1.9805 6.4256
Nd 0.0000 5.3776 13.7726
Cu 2.1241 4.9915 11.0206
Cu 0.0000 2.3667 3.6735
Se 0.0000 3.8568 1.6709
Se 2.1241 3.5013 9.0179
Se 2.1241 3.5013 13.0232
Se 0.0000 3.8568 5.6762
Se 0.0000 0.0000 7.3471
Se 0.0000 0.0000 0.0000
Se 0.0000 6.3228 11.0206
Se 2.1241 1.0353 3.6735

=====

4
Lattice="-4.4038 -1.3098 -1.3963 -2.2118 -1.4668 -4.0019 0.0469 -7.0472 0.4639" Properties=species:S:1:pos:R:3 comment="Te2AsW (PBE, relaxed)" formation_energy_uncorrected_kj_per_mol_atoms=13 pbc="T T T"
As -1.1425 -3.1213 -0.7731
Te -0.1712 -0.4587 -0.1164
Te -5.4865 -7.2013 -4.1818
W -3.0528 -3.9544 -2.3300

=====

5
Lattice="-0.1442 5.7756 -0.7984 -3.9354 -0.6857 -4.2495 -4.1653 0.4199 3.7898" Properties=species:S:1:pos:R:3 comment="RbNa2GaPb (PBE, relaxed)" ef_ev_per_atom=-0.007 relative_energy_ev_per_atom=0.000 pbc="T T T"
Pb -2.0827 0.2099 1.8949
Na -1.9677 -0.3428 -2.1247
Na -0.0721 2.8878 -0.3992
Ga 0.0000 0.0000 0.0000
Rb -4.1225 2.7549 -0.6290

=====

Number 1: total energy -15.82 eV per formula unit. Number 2: total energy -11.97 eV per formula unit. Number 3: total energy -24.61 eV per formula unit. Number 4: total energy -59.53 eV per formula unit. Number 5: total energy -27.13 eV per formula unit. Number 6: total energy -19.11 eV per formula unit. Number 7: total energy -30.62 eV per formula unit. Number 8: total energy -35.20 eV per formula unit. Number 9: total energy -13.94 eV per formula unit. Number 10: total energy -42.93 eV per formula unit. Number 11: total energy -15.67 eV per formula unit. Number 12: total energy -37.60 eV per formula unit. Number 13: total energy -28.42 eV per formula unit. Number 14: total energy -71.35 eV per formula unit. Number 15: total energy -12.90 eV per formula unit. Number 16: total energy -15.87 eV per formula unit. Number 17: total energy -80.69 eV per formula unit. Number 18: total energy -40.61 eV per formula unit. Number 19: total energy -23.34 eV per formula unit. Number 20: total energy -10.38 eV per formula unit.